Entry 1:
VASP calculation (PBE) on a geometry-optimized KHg4Br2 structure.

a = 7.0155 Å, b = 7.0155 Å, c = 15.6030 Å
α = 90.00°, β = 90.00°, γ = 90.00°
Atoms (fractional coordinates):
K 0.0000 0.0000 0.0000
K 0.5000 0.5000 0.5000
Hg 0.0000 0.0000 0.2222
Hg 0.0000 0.0000 0.7778
Hg 0.0000 0.5000 0.0000
Hg 0.0000 0.5000 0.5000
Hg 0.5000 0.0000 0.0000
Hg 0.5000 0.0000 0.5000
Hg 0.5000 0.5000 0.2778
Hg 0.5000 0.5000 0.7222
Br 0.0000 0.0000 0.4044
Br 0.0000 0.0000 0.5956
Br 0.5000 0.5000 0.0956
Br 0.5000 0.5000 0.9044

Results
- Fermi-level density of states: 0.27 states/eV/atom
- Magnetization: 1.05 μB per formula unit
- V: 767.94 Å³/cell


Entry 2:
VASP calculation (PBE) on a geometry-optimized K2Hg4Br9 structure.

a = 7.7996 Å, b = 7.9144 Å, c = 20.9908 Å
α = 80.36°, β = 86.74°, γ = 60.69°
Atoms (fractional coordinates):
K 0.0096 0.3088 0.1182
K 0.0188 0.1316 0.3502
K 0.9812 0.8684 0.6498
K 0.9904 0.6912 0.8818
Hg 0.3013 0.9763 0.9514
Hg 0.3425 0.0784 0.7128
Hg 0.3510 0.3136 0.4965
Hg 0.3560 0.6031 0.1915
Hg 0.6440 0.3969 0.8085
Hg 0.6490 0.6864 0.5035
Hg 0.6575 0.9216 0.2872
Hg 0.6987 0.0237 0.0486
Br 0.0117 0.0826 0.7685
Br 0.0322 0.7062 0.0469
Br 0.0780 0.4416 0.4143
Br 0.3116 0.2400 0.2450
Br 0.3118 0.4152 0.7359
Br 0.3167 0.9925 0.5925
Br 0.3800 0.7244 0.4321
Br 0.4183 0.8985 0.0863
Br 0.4283 0.6471 0.9091
Br 0.5717 0.3529 0.0909
Br 0.5817 0.1015 0.9137
Br 0.6200 0.2756 0.5679
Br 0.6833 0.0075 0.4075
Br 0.6882 0.5848 0.2641
Br 0.6884 0.7600 0.7550
Br 0.9220 0.5584 0.5857
Br 0.9678 0.2938 0.9531
Br 0.9883 0.9174 0.2315

Results
- Fermi-level density of states: 0.27 states/eV/atom
- Magnetization: 0.00 μB per formula unit
- V: 1113.48 Å³/cell


Entry 3:
VASP calculation (PBE) on a geometry-optimized KHg2Br2 structure.

a = 4.1611 Å, b = 4.1611 Å, c = 18.3682 Å
α = 90.00°, β = 90.00°, γ = 90.00°
Atoms (fractional coordinates):
K 0.0000 0.0000 0.0000
K 0.5000 0.5000 0.5000
Hg 0.0000 0.5000 0.2500
Hg 0.0000 0.5000 0.7500
Hg 0.5000 0.0000 0.2500
Hg 0.5000 0.0000 0.7500
Br 0.0000 0.0000 0.3982
Br 0.0000 0.0000 0.6018
Br 0.5000 0.5000 0.1018
Br 0.5000 0.5000 0.8982

Results
- Fermi-level density of states: 0.58 states/eV/atom
- Magnetization: 0.00 μB per formula unit
- V: 318.05 Å³/cell


Entry 4:
VASP calculation (PBE) on a geometry-optimized K2HgBr2 structure.

a = 9.2437 Å, b = 9.2437 Å, c = 4.1622 Å
α = 90.00°, β = 90.00°, γ = 90.00°
Atoms (fractional coordinates):
K 0.1446 0.3554 0.0000
K 0.3554 0.8554 0.0000
K 0.6446 0.1446 0.0000
K 0.8554 0.6446 0.0000
Hg 0.0000 0.0000 0.0000
Hg 0.5000 0.5000 0.0000
Br 0.1540 0.6540 0.5000
Br 0.3460 0.1540 0.5000
Br 0.6540 0.8460 0.5000
Br 0.8460 0.3460 0.5000

Results
- Fermi-level density of states: 0.00 states/eV/atom
- Magnetization: 0.00 μB per formula unit
- V: 355.64 Å³/cell


Entry 5:
VASP calculation (PBE) on a geometry-optimized K2Hg2Br7 structure.

a = 8.9256 Å, b = 8.9256 Å, c = 6.6285 Å
α = 102.25°, β = 102.25°, γ = 112.53°
Atoms (fractional coordinates):
K 0.1985 0.8015 0.0000
K 0.8015 0.1985 0.0000
Hg 0.2548 0.2548 0.6408
Hg 0.7452 0.7452 0.3592
Br 0.0601 0.3893 0.7252
Br 0.1580 0.1580 0.1777
Br 0.3893 0.0601 0.7252
Br 0.5000 0.5000 0.5000
Br 0.6107 0.9399 0.2748
Br 0.8420 0.8420 0.8223
Br 0.9399 0.6107 0.2748

Results
- Fermi-level density of states: 0.13 states/eV/atom
- Magnetization: 0.00 μB per formula unit
- V: 450.81 Å³/cell


Entry 6:
VASP calculation (PBE) on a geometry-optimized KHgBr3 structure.

a = 12.1726 Å, b = 12.1726 Å, c = 8.4433 Å
α = 90.03°, β = 90.03°, γ = 133.81°
Atoms (fractional coordinates):
K 0.1550 0.3412 0.3020
K 0.3412 0.1550 0.8020
K 0.6588 0.8450 0.1980
K 0.8450 0.6588 0.6980
Hg 0.1209 0.8791 0.2500
Hg 0.3790 0.6210 0.7500
Hg 0.6210 0.3790 0.2500
Hg 0.8791 0.1209 0.7500
Br 0.1292 0.8165 0.9645
Br 0.1835 0.8708 0.5355
Br 0.2002 0.2966 0.6980
Br 0.2966 0.2002 0.1980
Br 0.3189 0.6276 0.0364
Br 0.3724 0.6811 0.4636
Br 0.6276 0.3189 0.5364
Br 0.6811 0.3724 0.9636
Br 0.7034 0.7998 0.8020
Br 0.7998 0.7034 0.3020
Br 0.8165 0.1292 0.4645
Br 0.8708 0.1835 0.0355

Results
- Fermi-level density of states: 0.00 states/eV/atom
- Magnetization: 0.00 μB per formula unit
- V: 902.83 Å³/cell


Entry 7:
VASP calculation (PBE) on a geometry-optimized K4HgBr structure.

a = 7.8990 Å, b = 7.8990 Å, c = 7.8990 Å
α = 60.00°, β = 60.00°, γ = 60.00°
Atoms (fractional coordinates):
K 0.1242 0.1242 0.1242
K 0.1242 0.1242 0.6272
K 0.1242 0.6272 0.1242
K 0.6272 0.1242 0.1242
Hg 0.5000 0.5000 0.5000
Br 0.7500 0.7500 0.7500

Results
- Fermi-level density of states: 0.53 states/eV/atom
- Magnetization: 0.00 μB per formula unit
- V: 348.50 Å³/cell


Entry 8:
VASP calculation (PBE) on a geometry-optimized K3Hg5Br12 structure.

a = 15.5986 Å, b = 15.5986 Å, c = 15.5986 Å
α = 109.47°, β = 109.47°, γ = 109.47°
Atoms (fractional coordinates):
K 0.1250 0.2500 0.3750
K 0.1250 0.3750 0.7500
K 0.2500 0.3750 0.1250
K 0.2500 0.8750 0.6250
K 0.3750 0.1250 0.2500
K 0.3750 0.7500 0.1250
K 0.6250 0.2500 0.8750
K 0.6250 0.8750 0.7500
K 0.7500 0.1250 0.3750
K 0.7500 0.6250 0.8750
K 0.8750 0.6250 0.2500
K 0.8750 0.7500 0.6250
Hg 0.0000 0.0000 0.0000
Hg 0.0000 0.0000 0.5000
Hg 0.0000 0.5000 0.0000
Hg 0.0000 0.5000 0.5000
Hg 0.1250 0.7500 0.8750
Hg 0.1250 0.8750 0.2500
Hg 0.2500 0.1250 0.8750
Hg 0.2500 0.6250 0.3750
Hg 0.3750 0.2500 0.6250
Hg 0.3750 0.6250 0.7500
Hg 0.5000 0.0000 0.0000
Hg 0.5000 0.0000 0.5000
Hg 0.5000 0.5000 0.0000
Hg 0.5000 0.5000 0.5000
Hg 0.6250 0.3750 0.2500
Hg 0.6250 0.7500 0.3750
Hg 0.7500 0.3750 0.6250
Hg 0.7500 0.8750 0.1250
Hg 0.8750 0.1250 0.7500
Hg 0.8750 0.2500 0.1250
Br 0.0274 0.2051 0.1203
Br 0.0274 0.3223 0.9072
Br 0.0848 0.7051 0.6777
Br 0.0848 0.8797 0.4072
Br 0.0928 0.6203 0.4152
Br 0.0928 0.9726 0.6777
Br 0.1203 0.0274 0.2051
Br 0.1203 0.5928 0.9152
Br 0.1777 0.2051 0.5848
Br 0.1777 0.4726 0.5928
Br 0.2051 0.1203 0.0274
Br 0.2051 0.5848 0.1777
Br 0.2949 0.3223 0.9152
Br 0.2949 0.4726 0.3797
Br 0.3223 0.9072 0.0274
Br 0.3223 0.9152 0.2949
Br 0.3797 0.2949 0.4726
Br 0.3797 0.5848 0.9072
Br 0.4072 0.0848 0.8797
Br 0.4072 0.8223 0.5274
Br 0.4152 0.0928 0.6203
Br 0.4152 0.8223 0.7949
Br 0.4726 0.3797 0.2949
Br 0.4726 0.5928 0.1777
Br 0.5274 0.4072 0.8223
Br 0.5274 0.6203 0.7051
Br 0.5848 0.1777 0.2051
Br 0.5848 0.9072 0.3797
Br 0.5928 0.1777 0.4726
Br 0.5928 0.9152 0.1203
Br 0.6203 0.4152 0.0928
Br 0.6203 0.7051 0.5274
Br 0.6777 0.0848 0.7051
Br 0.6777 0.0928 0.9726
Br 0.7051 0.5274 0.6203
Br 0.7051 0.6777 0.0848
Br 0.7949 0.4152 0.8223
Br 0.7949 0.8797 0.9726
Br 0.8223 0.5274 0.4072
Br 0.8223 0.7949 0.4152
Br 0.8797 0.4072 0.0848
Br 0.8797 0.9726 0.7949
Br 0.9072 0.0274 0.3223
Br 0.9072 0.3797 0.5848
Br 0.9152 0.1203 0.5928
Br 0.9152 0.2949 0.3223
Br 0.9726 0.6777 0.0928
Br 0.9726 0.7949 0.8797

Results
- Fermi-level density of states: 0.09 states/eV/atom
- Magnetization: 0.00 μB per formula unit
- V: 2921.68 Å³/cell


Entry 9:
VASP calculation (PBE) on a geometry-optimized K12Hg5Br3 structure.

a = 17.5019 Å, b = 17.5019 Å, c = 17.5019 Å
α = 109.47°, β = 109.47°, γ = 109.47°
Atoms (fractional coordinates):
K 0.0592 0.2321 0.1190
K 0.0592 0.3271 0.9402
K 0.0598 0.6190 0.3869
K 0.0598 0.9408 0.6729
K 0.1131 0.7321 0.6729
K 0.1131 0.8810 0.4402
K 0.1190 0.0592 0.2321
K 0.1190 0.5598 0.8869
K 0.1729 0.2321 0.6131
K 0.1729 0.4408 0.5598
K 0.2321 0.1190 0.0592
K 0.2321 0.6131 0.1729
K 0.2679 0.3271 0.8869
K 0.2679 0.4408 0.3810
K 0.3271 0.8869 0.2679
K 0.3271 0.9402 0.0592
K 0.3810 0.2679 0.4408
K 0.3810 0.6131 0.9402
K 0.3869 0.0598 0.6190
K 0.3869 0.8271 0.7679
K 0.4402 0.1131 0.8810
K 0.4402 0.8271 0.5592
K 0.4408 0.3810 0.2679
K 0.4408 0.5598 0.1729
K 0.5592 0.4402 0.8271
K 0.5592 0.6190 0.7321
K 0.5598 0.1729 0.4408
K 0.5598 0.8869 0.1190
K 0.6131 0.1729 0.2321
K 0.6131 0.9402 0.3810
K 0.6190 0.3869 0.0598
K 0.6190 0.7321 0.5592
K 0.6729 0.0598 0.9408
K 0.6729 0.1131 0.7321
K 0.7321 0.5592 0.6190
K 0.7321 0.6729 0.1131
K 0.7679 0.3869 0.8271
K 0.7679 0.8810 0.9408
K 0.8271 0.5592 0.4402
K 0.8271 0.7679 0.3869
K 0.8810 0.4402 0.1131
K 0.8810 0.9408 0.7679
K 0.8869 0.1190 0.5598
K 0.8869 0.2679 0.3271
K 0.9402 0.0592 0.3271
K 0.9402 0.3810 0.6131
K 0.9408 0.6729 0.0598
K 0.9408 0.7679 0.8810
Hg 0.0000 0.0000 0.0000
Hg 0.0000 0.0000 0.5000
Hg 0.0000 0.5000 0.0000
Hg 0.0000 0.5000 0.5000
Hg 0.1250 0.7500 0.8750
Hg 0.1250 0.8750 0.2500
Hg 0.2500 0.1250 0.8750
Hg 0.2500 0.6250 0.3750
Hg 0.3750 0.2500 0.6250
Hg 0.3750 0.6250 0.7500
Hg 0.5000 0.0000 0.0000
Hg 0.5000 0.0000 0.5000
Hg 0.5000 0.5000 0.0000
Hg 0.5000 0.5000 0.5000
Hg 0.6250 0.3750 0.2500
Hg 0.6250 0.7500 0.3750
Hg 0.7500 0.3750 0.6250
Hg 0.7500 0.8750 0.1250
Hg 0.8750 0.1250 0.7500
Hg 0.8750 0.2500 0.1250
Br 0.1250 0.2500 0.3750
Br 0.1250 0.3750 0.7500
Br 0.2500 0.3750 0.1250
Br 0.2500 0.8750 0.6250
Br 0.3750 0.1250 0.2500
Br 0.3750 0.7500 0.1250
Br 0.6250 0.2500 0.8750
Br 0.6250 0.8750 0.7500
Br 0.7500 0.1250 0.3750
Br 0.7500 0.6250 0.8750
Br 0.8750 0.6250 0.2500
Br 0.8750 0.7500 0.6250

Results
- Fermi-level density of states: 0.67 states/eV/atom
- Magnetization: 0.95 μB per formula unit
- V: 4126.97 Å³/cell


Entry 10:
VASP calculation (PBE) on a geometry-optimized KHgBr3 structure.

a = 8.7800 Å, b = 8.7800 Å, c = 5.0356 Å
α = 90.31°, β = 90.31°, γ = 72.07°
Atoms (fractional coordinates):
K 0.2315 0.2315 0.2307
K 0.7685 0.7685 0.7693
Hg 0.3038 0.6962 0.0000
Hg 0.6962 0.3038 0.0000
Br 0.0593 0.6653 0.2551
Br 0.3347 0.9407 0.7449
Br 0.3950 0.3950 0.7487
Br 0.6050 0.6050 0.2513
Br 0.6653 0.0593 0.2551
Br 0.9407 0.3347 0.7449

Results
- Fermi-level density of states: 0.00 states/eV/atom
- Magnetization: 0.00 μB per formula unit
- V: 369.31 Å³/cell


Entry 11:
VASP calculation (PBE) on a geometry-optimized KLaHgBr6 structure.

a = 7.4803 Å, b = 7.4803 Å, c = 14.6494 Å
α = 90.00°, β = 90.00°, γ = 120.00°
Atoms (fractional coordinates):
K 0.0000 0.0000 0.0000
K 0.0000 0.0000 0.5000
La 0.3333 0.6667 0.2500
La 0.6667 0.3333 0.7500
Hg 0.3333 0.6667 0.7500
Hg 0.6667 0.3333 0.2500
Br 0.0093 0.3708 0.6348
Br 0.0093 0.6385 0.8652
Br 0.3615 0.3708 0.8652
Br 0.3615 0.9907 0.6348
Br 0.3708 0.0093 0.1348
Br 0.3708 0.3615 0.3651
Br 0.6292 0.6385 0.6348
Br 0.6292 0.9907 0.8652
Br 0.6385 0.0093 0.3651
Br 0.6385 0.6292 0.1348
Br 0.9907 0.3615 0.1348
Br 0.9907 0.6292 0.3651

Results
- Fermi-level density of states: 0.00 states/eV/atom
- Magnetization: 0.00 μB per formula unit
- V: 709.88 Å³/cell


Entry 12:
VASP calculation (PBE) on a geometry-optimized K2LiHgBr5 structure.

a = 9.6793 Å, b = 9.6793 Å, c = 13.9544 Å
α = 90.00°, β = 90.00°, γ = 153.55°
Atoms (fractional coordinates):
K 0.1100 0.8900 0.5000
K 0.1262 0.8738 0.1221
K 0.8738 0.1262 0.6221
K 0.8900 0.1100 0.0000
Li 0.4310 0.5690 0.2416
Li 0.5690 0.4310 0.7416
Hg 0.2120 0.7880 0.8337
Hg 0.7880 0.2120 0.3337
Br 0.0660 0.9340 0.8373
Br 0.2858 0.7142 0.4733
Br 0.3013 0.6987 0.1855
Br 0.3539 0.6461 0.8165
Br 0.4997 0.5003 0.0912
Br 0.5003 0.4997 0.5912
Br 0.6461 0.3539 0.3165
Br 0.6987 0.3013 0.6855
Br 0.7142 0.2858 0.9733
Br 0.9340 0.0660 0.3373

Results
- Fermi-level density of states: 0.00 states/eV/atom
- Magnetization: 0.00 μB per formula unit
- V: 582.41 Å³/cell


Entry 13:
VASP calculation (PBE) on a geometry-optimized KLiHgBr2 structure.

a = 5.3835 Å, b = 5.3835 Å, c = 5.2746 Å
α = 90.00°, β = 90.00°, γ = 90.00°
Atoms (fractional coordinates):
K 0.0000 0.0000 0.0000
Li 0.5000 0.5000 0.5000
Hg 0.5000 0.5000 0.0000
Br 0.0000 0.5000 0.5000
Br 0.5000 0.0000 0.5000

Results
- Fermi-level density of states: 0.00 states/eV/atom
- Magnetization: 0.00 μB per formula unit
- V: 152.87 Å³/cell


Entry 14:
VASP calculation (PBE) on a geometry-optimized KLiHgBr2 structure.

a = 6.6761 Å, b = 6.6761 Å, c = 5.7441 Å
α = 90.00°, β = 90.00°, γ = 90.00°
Atoms (fractional coordinates):
K 0.0000 0.0000 0.0000
Li 0.5000 0.5000 0.0000
Hg 0.0000 0.0000 0.5000
Br 0.0000 0.5000 0.5000
Br 0.5000 0.0000 0.5000

Results
- Fermi-level density of states: 0.00 states/eV/atom
- Magnetization: 0.00 μB per formula unit
- V: 256.02 Å³/cell


Entry 15:
VASP calculation (PBE) on a geometry-optimized KLiHgBr4 structure.

a = 6.7902 Å, b = 7.8233 Å, c = 9.0377 Å
α = 90.00°, β = 101.46°, γ = 90.00°
Atoms (fractional coordinates):
K 0.2081 0.2500 0.0722
K 0.7919 0.7500 0.9278
Li 0.3073 0.2500 0.6849
Li 0.6927 0.7500 0.3151
Hg 0.2077 0.7500 0.3518
Hg 0.7923 0.2500 0.6482
Br 0.0688 0.0052 0.7333
Br 0.0688 0.4948 0.7333
Br 0.3918 0.7500 0.0979
Br 0.4611 0.2500 0.4477
Br 0.5389 0.7500 0.5523
Br 0.6082 0.2500 0.9021
Br 0.9312 0.5052 0.2667
Br 0.9312 0.9948 0.2667

Results
- Fermi-level density of states: 0.00 states/eV/atom
- Magnetization: 0.00 μB per formula unit
- V: 470.52 Å³/cell


Respective energy values: -1.030 -1.957 -1.726 -2.467 -2.135 -2.239 -1.296 -2.050 -1.423 -2.248 -3.219 -2.678 -2.471 -1.752 -2.532 eV/atom.
Respective density values: 4.330 4.771 6.266 4.096 3.826 3.527 2.082 4.727 2.755 4.311 4.014 3.908 4.415 2.636 3.997 g cm⁻³.